CeNb4Te8 after structural relaxation, computed with PBE-GGA.

Computed properties:
Energy relative to the elements, uncorrected (eV per atom): -0.489
Calculated volume (Å³ per cell): 385
Magnetization (μB/cell): 1.01
D(E_F) (states/eV per atom): 0.883
SG: No. 12

abc: 7.5850 7.5850 8.8813
angles: 115.21 115.21 60.05
Last column: nearest neighbours and their distance in Å.
Element x y z (fractional)
Ce 0.0000 0.0000 0.0000  6 Te 3.06-3.07
Nb 0.0000 0.0000 0.5000  6 Te 2.84-2.86
Nb 0.0000 0.5000 0.5000  6 Te 2.84-2.86
Nb 0.5000 0.0000 0.5000  6 Te 2.84-2.86
Nb 0.5000 0.5000 0.5000  6 Te 2.78
Te 0.2443 0.2443 0.7331  3 Nb 2.84
Te 0.2553 0.7385 0.7326  3 Nb 2.78-2.86, 1 Ce 3.06
Te 0.2614 0.2614 0.2673  3 Nb 2.78-2.86, 1 Ce 3.07
Te 0.2615 0.7447 0.2674  3 Nb 2.78-2.86, 1 Ce 3.06
Te 0.7385 0.2553 0.7326  3 Nb 2.78-2.86, 1 Ce 3.06
Te 0.7386 0.7386 0.7327  3 Nb 2.78-2.86, 1 Ce 3.07
Te 0.7447 0.2615 0.2674  3 Nb 2.78-2.86, 1 Ce 3.06
Te 0.7557 0.7557 0.2669  3 Nb 2.84